Crystalline ZrFeW3 at its relaxed geometry, computed with PBE. Values from VASP.

## Properties
E_form	0.998	eV/atom
space group	No. 221
calculated volume	92.2	Å³/cell

Quantum ESPRESSO input file:
```
&SYSTEM
  ibrav = 0, nat = 5, ntyp = 3
/
ATOMIC_SPECIES
Zr 91.22 Zr.upf
W 183.84 W.upf
Fe 55.84 Fe.upf
CELL_PARAMETERS angstrom
-0.498 2.997 3.343
-0.545 -3.379 2.949
4.457 -0.078 0.734
ATOMIC_POSITIONS crystal
Zr 0.500 0.500 0.500
W 0.000 0.500 0.000
W 0.000 0.000 0.500
W 0.500 0.000 0.000
Fe 0.000 0.000 0.000
```